Computed, not measured: a geometry-optimized Sc3Cd2Hg4 structure at the PBE level of DFT.

```
data_Sc3Cd2Hg4
_chemical_formula_sum 'Sc6 Cd4 Hg8'
_cell_length_a 14.063
_cell_length_b 3.661
_cell_length_c 7.973
_cell_angle_alpha 90.00
_cell_angle_beta 102.67
_cell_angle_gamma 90.00
_symmetry_space_group_name_H-M 'C 1 2/m 1'
_symmetry_Int_Tables_number 12
_symmetry_space_group_name_Hall '-C 2y'
loop_
_atom_site_label
_atom_site_fract_x
_atom_site_fract_y
_atom_site_fract_z
_atom_site_occupancy
Sc1 0.000 0.000 0.000 1
Sc2 0.137 0.000 0.616 1
Cd1 0.166 0.500 0.961 1
Hg1 0.022 0.500 0.315 1
Hg2 0.194 0.000 0.285 1
```

- spin magnetization (Bohr magnetons per cell) = 0.0
- calculated total energy (Ha/atom) = -0.09929
- DFT formation energy (eV per formula unit) = -2.29